(1)
{"formula": "MnBi2RhCl", "functional": "GGA-PBE", "state": "optimized geometry", "formation_energy_uncorrected_kj_per_mol_fu": 628, "lattice": [[5.4182, 0.0000, 0.0000], [0.0000, 5.4182, 0.0000], [0.0000, 0.0000, 4.3332]], "species": ["Mn", "Bi", "Bi", "Rh", "Cl"], "frac_coords": [[0.0000, 0.0000, 0.0000], [0.0000, 0.5000, 0.5000], [0.5000, 0.0000, 0.5000], [0.5000, 0.5000, 0.0000], [0.5000, 0.5000, 0.5000]]}

---

(2)
{"formula": "Tb2Nd3Zn2", "functional": "GGA-PBE", "state": "optimized geometry", "de_polymorph_ev_per_fu": 0.00, "formation_energy_ev_per_fu": -0.88, "lattice": [[6.4769, -1.8851, 0.0000], [6.4769, 1.8851, 0.0000], [-4.0209, 0.0000, 8.3889]], "species": ["Tb", "Tb", "Nd", "Nd", "Nd", "Zn", "Zn"], "frac_coords": [[0.1529, 0.1529, 0.3161], [0.8471, 0.8471, 0.6839], [0.3916, 0.3916, 0.0626], [0.5000, 0.5000, 0.5000], [0.6084, 0.6084, 0.9374], [0.1802, 0.1802, 0.7244], [0.8198, 0.8198, 0.2756]]}

---

(3)
{"formula": "FeGeRu", "functional": "GGA-PBE", "state": "optimized geometry", "formation_energy_ev_per_fu": 0.01, "lattice": [[-1.4902, 1.4902, 4.4594], [1.4902, -1.4902, 4.4594], [1.4902, 1.4902, -4.4594]], "species": ["Fe", "Ge", "Ru"], "frac_coords": [[0.0000, 0.0000, 0.0000], [0.3449, 0.3449, 0.0000], [0.6795, 0.6795, 0.0000]]}

---

(4)
{"formula": "SrAcTlN", "functional": "GGA-PBE", "state": "optimized geometry", "formation_energy_uncorrected_kj_per_mol_fu": -239, "lattice": [[3.3471, -1.9393, 0.0000], [3.3471, 1.9393, 0.0000], [-2.2470, 0.0000, 8.6571]], "species": ["Sr", "Ac", "Tl", "N"], "frac_coords": [[0.0000, 0.0000, 0.0000], [0.7814, 0.7814, 0.3470], [0.5592, 0.5592, 0.6842], [0.3985, 0.3985, 0.1992]]}

---

Number 1: VASP energy -3.92 eV per atom. Number 2: VASP energy -3.86 eV per atom. Number 3: VASP energy -7.45 eV per atom. Number 4: VASP energy -4.74 eV per atom.